[1]
## Er3Ge3Os (PBE-GGA)

Data for an optimized crystal structure of Er3Ge3Os.

Cell lengths 4.2557, 5.7559, 13.0464 Å; angles 84.37, 80.61, 68.30 degrees
Element x y z (fractional)
Er1 0.2594 0.2499 0.2314
Er2 0.5205 0.3355 0.6236
Ge1 0.8667 0.7226 0.5440
Er3 0.5999 0.7204 0.0797
Os1 0.2459 0.9188 0.5893
Ge2 0.1237 0.8263 0.9263
Ge3 0.9589 0.8437 0.2384
Ge4 0.1333 0.2774 0.4560
Ge5 0.8763 0.1737 0.0737
Ge6 0.0411 0.1563 0.7616
Os2 0.7541 0.0812 0.4107
Er4 0.4001 0.2796 0.9203
Er5 0.4795 0.6645 0.3764
Er6 0.7406 0.7501 0.7686

## Properties
ΔE_f   -5.20 eV per formula unit
V   20.9 Å³ per atom
Spin magnetization   0.00 μB/atom


[2]
## Nb3Al2C (PBE-GGA)

Data for an optimized crystal structure of Nb3Al2C.

Cell lengths 7.1288, 7.1288, 7.1288 Å; angles 90.00, 90.00, 90.00 degrees
Element x y z (fractional)
Al1 0.1799 0.8201 0.3201
C1 0.6250 0.8750 0.1250
Nb1 0.7948 0.9552 0.3750
Al2 0.6799 0.6799 0.6799
C2 0.3750 0.3750 0.3750
Nb2 0.6250 0.2948 0.5448
Al3 0.5701 0.4299 0.9299
C3 0.1250 0.6250 0.8750
Nb3 0.4552 0.1250 0.2052
Al4 0.0701 0.0701 0.0701
Nb4 0.0448 0.8750 0.7052
Al5 0.8201 0.3201 0.1799
Nb5 0.8750 0.7052 0.0448
Al6 0.4299 0.9299 0.5701
Al7 0.3201 0.1799 0.8201
Al8 0.9299 0.5701 0.4299
Nb6 0.3750 0.7948 0.9552
Nb7 0.5448 0.6250 0.2948
Nb8 0.7052 0.0448 0.8750
Nb9 0.2052 0.4552 0.1250
Nb10 0.9552 0.3750 0.7948
Nb11 0.2948 0.5448 0.6250
Nb12 0.1250 0.2052 0.4552
C4 0.8750 0.1250 0.6250

## Properties
ΔE_f   -2.84 eV per formula unit
V   15.1 Å³ per atom
Spin magnetization   0.00 μB/atom


[3]
## ScP3I (PBE-GGA)

Data for an optimized crystal structure of ScP3I.

Cell lengths 5.0160, 5.0160, 5.0160 Å; angles 90.00, 90.00, 90.00 degrees
Element x y z (fractional)
P1 0.0000 0.0000 0.5000
P2 0.5000 0.0000 0.0000
I1 0.5000 0.5000 0.5000
P3 0.0000 0.5000 0.0000
Sc1 0.0000 0.0000 0.0000

## Properties
V   25.2 Å³ per atom
Spin magnetization   0.00 μB/atom
ΔE_f (raw)   12.92 kcal/mol of atoms


[4]
## NpNi4W (PBE-GGA)

Data for an optimized crystal structure of NpNi4W.

Cell lengths 4.8561, 4.8561, 4.8561 Å; angles 60.00, 60.00, 60.00 degrees
Element x y z (fractional)
Ni1 0.6240 0.1281 0.6240
Ni2 0.6240 0.6240 0.1281
Ni3 0.1281 0.6240 0.6240
Ni4 0.6240 0.6240 0.6240
W1 0.2500 0.2500 0.2500
Np1 0.0000 0.0000 0.0000

## Properties
ΔE_f   0.54 eV per formula unit
V   13.5 Å³ per atom
Spin magnetization   0.19 μB/atom